Record 1
MnSiAg | GGA-PBEsol | optimized geometry

abc: 2.675 2.675 6.025
angles: 102.82 102.82 90.00
Each line ends with the local moment (μB).
Fractional positions:
Mn 0.683 0.683 0.365  2.23
Si 0.316 0.316 0.632  -0.04
Ag 0.001 0.001 0.003  0.01

symmetry	No. 107
DOS(E_F)	0.722	states/eV/atom
energy	-18.32	eV for the cell shown
spin magnetization	2.22	μB per formula unit
E_form (uncorrected)	0.1670	eV/atom
crystal system	tetragonal
distance to the lowest polymorph of the same formula	0.0	meV/atom

Record 2
Li3CuF6 | GGA-PBEsol | optimized geometry

abc: 4.940 8.286 9.561
angles: 90.00 90.00 90.00
Each line ends with the local moment (μB).
Fractional positions:
F 0.176 0.919 0.013  0.14
F 0.176 0.581 0.513  0.14
F 0.676 0.419 0.487  0.14
F 0.659 0.093 0.476  0.15
F 0.175 0.245 0.977  0.13
F 0.817 0.235 0.760  0.14
F 0.159 0.593 0.024  0.15
F 0.175 0.255 0.477  0.13
F 0.816 0.608 0.246  0.14
F 0.316 0.392 0.754  0.14
F 0.675 0.755 0.023  0.13
F 0.659 0.407 0.976  0.15
F 0.675 0.745 0.523  0.13
F 0.676 0.081 0.987  0.14
F 0.817 0.265 0.260  0.14
F 0.317 0.735 0.740  0.14
F 0.352 0.439 0.271  0.13
F 0.316 0.108 0.254  0.14
F 0.852 0.939 0.229  0.13
F 0.159 0.907 0.524  0.15
F 0.352 0.061 0.771  0.13
F 0.317 0.765 0.240  0.14
F 0.852 0.561 0.729  0.13
F 0.816 0.892 0.746  0.14
Li 0.994 0.364 0.624  0.00
Li 0.494 0.636 0.376  0.00
Li 0.497 0.946 0.149  0.00
Li 0.007 0.448 0.895  0.00
Li 0.507 0.948 0.605  0.00
Li 0.997 0.446 0.351  0.00
Li 0.507 0.552 0.105  0.00
Li 0.494 0.864 0.876  0.00
Li 0.497 0.554 0.649  0.00
Li 0.007 0.052 0.395  0.00
Li 0.994 0.136 0.124  0.00
Li 0.997 0.054 0.851  0.00
Cu 0.000 0.760 0.129  1.09
Cu 0.500 0.260 0.371  1.09
Cu 0.500 0.240 0.871  1.09
Cu 0.000 0.740 0.629  1.09

symmetry	No. 33
energy	-181.27	eV for the cell shown
spin magnetization	2.00	μB per formula unit
E_form (uncorrected)	-2.3520	eV/atom
crystal system	orthorhombic
distance to the lowest polymorph of the same formula	0.0	meV/atom

Record 3
KCr2Cd2 | GGA-PBEsol | optimized geometry

abc: 4.826 4.826 6.579
angles: 111.52 111.52 90.00
Each line ends with the local moment (μB).
Fractional positions:
Cr 0.374 0.374 0.747  3.96
Cr 0.626 0.626 0.253  3.96
K 0.000 0.000 0.000  0.01
Cd 0.750 0.250 0.500  0.02
Cd 0.250 0.750 0.500  0.02

symmetry	No. 139
DOS(E_F)	0.547	states/eV/atom
energy relative to the elements	0.884	eV/atom
energy	-19.59	eV for the cell shown
spin magnetization	9.20	μB per formula unit
crystal system	tetragonal

Record 4
BaZn2Pt2 | GGA-PBEsol | optimized geometry

abc: 4.318 4.318 6.119
angles: 110.66 110.66 90.00
Fractional positions:
Ba 0.000 0.000 0.000
Zn 0.377 0.377 0.754
Zn 0.623 0.623 0.246
Pt 0.750 0.250 0.500
Pt 0.250 0.750 0.500

symmetry	No. 139
DOS(E_F)	0.260	states/eV/atom
energy relative to the elements	-0.512	eV/atom
energy	-21.80	eV for the cell shown
spin magnetization	0.00	μB per formula unit
crystal system	tetragonal

Record 5
PdS3I | GGA-PBEsol | optimized geometry

abc: 4.984 4.984 4.984
angles: 90.00 90.00 90.00
Each line ends with the local moment (μB).
Fractional positions:
S 0.000 0.000 0.500  0.12
S 0.500 0.000 0.000  0.12
S 0.000 0.500 0.000  0.12
I 0.000 0.000 0.000  -0.01
Pd 0.500 0.500 0.500  0.66

symmetry	No. 221
DOS(E_F)	1.550	states/eV/atom
energy	-14.46	eV for the cell shown
spin magnetization	1.20	μB per formula unit
E_form (uncorrected)	1.2832	eV/atom
crystal system	cubic

Record 6
CsZr2ZnMo | GGA-PBEsol | optimized geometry

abc: 4.822 5.142 5.142
angles: 90.00 90.00 90.00
Fractional positions:
Mo 0.500 0.000 0.000
Zr 0.000 0.000 0.500
Zr 0.000 0.500 0.000
Cs 0.000 0.000 0.000
Zn 0.500 0.500 0.500

symmetry	No. 123
DOS(E_F)	1.408	states/eV/atom
energy relative to the elements	2.287	eV/atom
energy	-21.04	eV for the cell shown
spin magnetization	0.00	μB per formula unit
crystal system	tetragonal